Computed, not measured: crystalline MnCoTeO6 at its relaxed geometry at the PBE with a Hubbard U level of DFT.

Structure (POSCAR):
```
MnCoTeO6
1.0
-0.5265 3.0521 3.4309
2.5027 -2.7046 2.7902
7.4661 4.2189 -2.6073
O Co Mn Te
12 2 2 2
Direct
0.1962 0.8038 0.4993
0.3038 0.3038 0.9993
0.1946 0.8054 0.8356
0.8038 0.1962 0.4993
0.3135 0.3135 0.6637
0.3054 0.3054 0.3356
0.8054 0.1946 0.8356
0.6946 0.6946 0.3356
0.1865 0.8135 0.1637
0.8135 0.1865 0.1637
0.6962 0.6962 0.9993
0.6865 0.6865 0.6637
0.5000 0.5000 0.5009
0.0000 0.0000 0.0009
0.5000 0.5000 0.1694
0.0000 0.0000 0.6694
0.5000 0.5000 0.8324
0.0000 0.0000 0.3324
```

Computed properties:
DFT total energy = -6.139 eV per atom
Magnetization = 8.000 Bohr magnetons per cell